[1]
Computed, not measured: a relaxed structure of Ac2CoSiGe at the GGA-PBE level of DFT.

```
data_Ac2CoSiGe
_chemical_formula_sum 'Ac4 Co2 Si2 Ge2'
_cell_length_a 4.337
_cell_length_b 4.337
_cell_length_c 14.680
_cell_angle_alpha 90.00
_cell_angle_beta 90.00
_cell_angle_gamma 90.00
_symmetry_space_group_name_H-M 'P 1'
_symmetry_Int_Tables_number 1
loop_
_symmetry_equiv_pos_as_xyz
'x,y,z'
loop_
_atom_site_label
_atom_site_fract_x
_atom_site_fract_y
_atom_site_fract_z
_atom_site_occupancy
Si1 0.000 0.500 0.429 1
Co1 0.500 0.500 0.500 1
Si2 0.500 0.000 0.571 1
Ge1 0.500 0.000 0.124 1
Ac1 0.000 0.500 0.106 1
Co2 0.000 0.000 0.500 1
Ac2 0.500 0.000 0.340 1
Ac3 0.000 0.500 0.660 1
Ac4 0.500 0.000 0.894 1
Ge2 0.000 0.500 0.876 1
```

Computed properties:
**E_tot**: -5.595 eV/atom
**Formation energy (no corrections)**: -0.5226 eV per atom
**SG**: P4/nmm

***

[2]
Computed, not measured: a relaxed structure of Sm2HgPb2 at the GGA-PBE level of DFT.

```
data_Sm2HgPb2
_chemical_formula_sum 'Sm4 Hg2 Pb4'
_cell_length_a 5.113
_cell_length_b 5.113
_cell_length_c 13.066
_cell_angle_alpha 90.00
_cell_angle_beta 90.00
_cell_angle_gamma 120.00
_symmetry_space_group_name_H-M 'P 1'
_symmetry_Int_Tables_number 1
loop_
_symmetry_equiv_pos_as_xyz
'x,y,z'
loop_
_atom_site_label
_atom_site_fract_x
_atom_site_fract_y
_atom_site_fract_z
_atom_site_occupancy
Pb1 0.000 0.000 0.500 1
Hg1 0.000 0.000 0.750 1
Pb2 0.333 0.667 0.250 1
Hg2 0.000 0.000 0.250 1
Pb3 0.667 0.333 0.750 1
Sm1 0.333 0.667 0.603 1
Sm2 0.667 0.333 0.397 1
Pb4 0.000 0.000 0.000 1
Sm3 0.667 0.333 0.103 1
Sm4 0.333 0.667 0.897 1
```

Computed properties:
**E_tot**: -3.806 eV/atom
**SG**: P6_3/mmc

***

[3]
Computed, not measured: a relaxed structure of MnIn2Ir at the GGA-PBE level of DFT.

```
data_MnIn2Ir
_chemical_formula_sum 'Mn1 In2 Ir1'
_cell_length_a 4.545
_cell_length_b 4.545
_cell_length_c 4.545
_cell_angle_alpha 60.00
_cell_angle_beta 60.00
_cell_angle_gamma 60.00
_symmetry_space_group_name_H-M 'P 1'
_symmetry_Int_Tables_number 1
loop_
_symmetry_equiv_pos_as_xyz
'x,y,z'
loop_
_atom_site_label
_atom_site_fract_x
_atom_site_fract_y
_atom_site_fract_z
_atom_site_occupancy
Ir1 0.500 0.500 0.500 1
In1 0.750 0.750 0.750 1
Mn1 0.000 0.000 0.000 1
In2 0.250 0.250 0.250 1
```

Computed properties:
**E_tot**: -5.585 eV/atom
**SG**: Fm-3m

***

[4]
Computed, not measured: a relaxed structure of BiRh at the GGA-PBE level of DFT.

```
data_BiRh
_chemical_formula_sum 'Bi8 Rh8'
_cell_length_a 8.108
_cell_length_b 8.108
_cell_length_c 8.108
_cell_angle_alpha 90.00
_cell_angle_beta 90.00
_cell_angle_gamma 90.00
_symmetry_space_group_name_H-M 'P 1'
_symmetry_Int_Tables_number 1
loop_
_symmetry_equiv_pos_as_xyz
'x,y,z'
loop_
_atom_site_label
_atom_site_fract_x
_atom_site_fract_y
_atom_site_fract_z
_atom_site_occupancy
Rh1 0.876 0.124 0.876 1
Bi1 0.308 0.308 0.308 1
Bi2 0.808 0.192 0.192 1
Rh2 0.624 0.624 0.624 1
Bi3 0.692 0.308 0.692 1
Rh3 0.124 0.876 0.876 1
Rh4 0.624 0.376 0.376 1
Rh5 0.376 0.376 0.624 1
Bi4 0.192 0.192 0.808 1
Bi5 0.808 0.808 0.808 1
Rh6 0.376 0.624 0.376 1
Rh7 0.124 0.124 0.124 1
Rh8 0.876 0.876 0.124 1
Bi6 0.192 0.808 0.192 1
Bi7 0.692 0.692 0.308 1
Bi8 0.308 0.692 0.692 1
```

Computed properties:
**E_tot**: -5.476 eV/atom
**SG**: I-43m

***

[5]
Computed, not measured: a relaxed structure of KBaCr2 at the GGA-PBE level of DFT.

```
data_KBaCr2
_chemical_formula_sum 'K1 Ba1 Cr2'
_cell_length_a 6.838
_cell_length_b 6.838
_cell_length_c 6.159
_cell_angle_alpha 72.44
_cell_angle_beta 72.44
_cell_angle_gamma 32.15
_symmetry_space_group_name_H-M 'P 1'
_symmetry_Int_Tables_number 1
loop_
_symmetry_equiv_pos_as_xyz
'x,y,z'
loop_
_atom_site_label
_atom_site_fract_x
_atom_site_fract_y
_atom_site_fract_z
_atom_site_occupancy
K1 0.476 0.476 0.550 1
Ba1 0.276 0.276 0.196 1
Cr1 0.038 0.038 0.005 1
Cr2 0.710 0.710 0.749 1
```

Computed properties:
**E_tot**: -4.520 eV/atom
**SG**: Cm
**Relative energy among the computed polymorphs**: 345 meV per atom

***

[6]
Computed, not measured: a relaxed structure of Pa2AlGa9 at the GGA-PBE level of DFT.

```
data_Pa2AlGa9
_chemical_formula_sum 'Pa2 Al1 Ga9'
_cell_length_a 4.339
_cell_length_b 4.339
_cell_length_c 12.161
_cell_angle_alpha 90.00
_cell_angle_beta 90.00
_cell_angle_gamma 90.00
_symmetry_space_group_name_H-M 'P 1'
_symmetry_Int_Tables_number 1
loop_
_symmetry_equiv_pos_as_xyz
'x,y,z'
loop_
_atom_site_label
_atom_site_fract_x
_atom_site_fract_y
_atom_site_fract_z
_atom_site_occupancy
Ga1 0.500 0.000 0.851 1
Al1 0.000 0.000 0.000 1
Ga2 0.000 0.500 0.851 1
Ga3 0.500 0.000 0.149 1
Pa1 0.000 0.000 0.326 1
Ga4 0.000 0.500 0.500 1
Ga5 0.500 0.500 0.666 1
Ga6 0.000 0.500 0.149 1
Ga7 0.500 0.500 0.334 1
Pa2 0.000 0.000 0.674 1
Ga8 0.500 0.000 0.500 1
Ga9 0.500 0.500 0.000 1
```

Computed properties:
**E_tot**: -4.370 eV/atom
**SG**: P4/mmm

***

[7]
Computed, not measured: a relaxed structure of ScIn4Co at the GGA-PBE level of DFT.

```
data_ScIn4Co
_chemical_formula_sum 'Sc1 In4 Co1'
_cell_length_a 5.815
_cell_length_b 5.815
_cell_length_c 5.815
_cell_angle_alpha 60.00
_cell_angle_beta 60.00
_cell_angle_gamma 60.00
_symmetry_space_group_name_H-M 'P 1'
_symmetry_Int_Tables_number 1
loop_
_symmetry_equiv_pos_as_xyz
'x,y,z'
loop_
_atom_site_label
_atom_site_fract_x
_atom_site_fract_y
_atom_site_fract_z
_atom_site_occupancy
In1 0.375 0.875 0.375 1
In2 0.875 0.375 0.375 1
In3 0.375 0.375 0.875 1
Sc1 0.750 0.750 0.750 1
Co1 0.000 0.000 0.000 1
In4 0.375 0.375 0.375 1
```

Computed properties:
**E_tot**: -3.647 eV/atom
**SG**: F-43m

***

[8]
Computed, not measured: a relaxed structure of GaCuTe at the GGA-PBE level of DFT.

```
data_GaCuTe
_chemical_formula_sum 'Ga2 Cu2 Te2'
_cell_length_a 4.565
_cell_length_b 4.886
_cell_length_c 6.564
_cell_angle_alpha 111.42
_cell_angle_beta 90.80
_cell_angle_gamma 90.18
_symmetry_space_group_name_H-M 'P 1'
_symmetry_Int_Tables_number 1
loop_
_symmetry_equiv_pos_as_xyz
'x,y,z'
loop_
_atom_site_label
_atom_site_fract_x
_atom_site_fract_y
_atom_site_fract_z
_atom_site_occupancy
Te1 0.024 0.119 0.550 1
Te2 0.552 0.840 0.949 1
Ga1 0.782 0.494 0.193 1
Cu1 0.085 0.130 0.949 1
Ga2 0.483 0.455 0.525 1
Cu2 0.282 0.663 0.243 1
```

Computed properties:
**E_tot**: -3.513 eV/atom
**Formation energy (no corrections)**: -0.0912 eV per atom
**SG**: P1
**Relative energy among the computed polymorphs**: 51 meV per atom

***

[9]
Computed, not measured: a relaxed structure of AgGe2SbTe4 at the GGA-PBE level of DFT.

```
data_AgGe2SbTe4
_chemical_formula_sum 'Ag1 Ge2 Sb1 Te4'
_cell_length_a 7.420
_cell_length_b 7.420
_cell_length_c 6.154
_cell_angle_alpha 113.55
_cell_angle_beta 113.55
_cell_angle_gamma 109.71
_symmetry_space_group_name_H-M 'P 1'
_symmetry_Int_Tables_number 1
loop_
_symmetry_equiv_pos_as_xyz
'x,y,z'
loop_
_atom_site_label
_atom_site_fract_x
_atom_site_fract_y
_atom_site_fract_z
_atom_site_occupancy
Sb1 0.046 0.046 0.091 1
Te1 0.577 0.577 0.639 1
Te2 0.345 0.836 0.181 1
Ge1 0.303 0.803 0.605 1
Ag1 0.529 0.529 0.058 1
Te3 0.836 0.345 0.181 1
Ge2 0.803 0.303 0.605 1
Te4 0.062 0.062 0.639 1
```

Computed properties:
**E_tot**: -3.664 eV/atom
**Formation energy (no corrections)**: -0.0670 eV per atom
**SG**: Fmm2

***

[10]
Computed, not measured: a relaxed structure of Rb2BiB2 at the GGA-PBE level of DFT.

```
data_Rb2BiB2
_chemical_formula_sum 'Rb2 Bi1 B2'
_cell_length_a 4.616
_cell_length_b 4.616
_cell_length_c 7.021
_cell_angle_alpha 70.81
_cell_angle_beta 70.81
_cell_angle_gamma 90.00
_symmetry_space_group_name_H-M 'P 1'
_symmetry_Int_Tables_number 1
loop_
_symmetry_equiv_pos_as_xyz
'x,y,z'
loop_
_atom_site_label
_atom_site_fract_x
_atom_site_fract_y
_atom_site_fract_z
_atom_site_occupancy
Bi1 0.000 0.000 0.000 1
B1 0.564 0.564 0.873 1
Rb1 0.250 0.750 0.500 1
Rb2 0.750 0.250 0.500 1
B2 0.436 0.436 0.127 1
```

Computed properties:
**E_tot**: -2.883 eV/atom
**SG**: I4/mmm
**Relative energy among the computed polymorphs**: 233 meV per atom

***

[11]
Computed, not measured: a relaxed structure of BaDy2CuSe4 at the GGA-PBE level of DFT.

```
data_BaDy2CuSe4
_chemical_formula_sum 'Ba2 Dy4 Cu2 Se8'
_cell_length_a 4.175
_cell_length_b 7.274
_cell_length_c 14.256
_cell_angle_alpha 90.00
_cell_angle_beta 90.00
_cell_angle_gamma 106.68
_symmetry_space_group_name_H-M 'P 1'
_symmetry_Int_Tables_number 1
loop_
_symmetry_equiv_pos_as_xyz
'x,y,z'
loop_
_atom_site_label
_atom_site_fract_x
_atom_site_fract_y
_atom_site_fract_z
_atom_site_occupancy
Se1 0.438 0.876 0.750 1
Cu1 0.154 0.308 0.250 1
Se2 0.266 0.532 0.114 1
Se3 0.000 0.000 0.500 1
Ba1 0.883 0.766 0.250 1
Se4 0.266 0.532 0.386 1
Dy1 0.628 0.255 0.442 1
Dy2 0.372 0.745 0.558 1
Se5 0.734 0.468 0.614 1
Cu2 0.846 0.692 0.750 1
Ba2 0.117 0.234 0.750 1
Se6 0.562 0.124 0.250 1
Dy3 0.372 0.745 0.942 1
Dy4 0.628 0.255 0.058 1
Se7 0.734 0.468 0.886 1
Se8 0.000 0.000 0.000 1
```

Computed properties:
**E_tot**: -5.240 eV/atom
**Formation energy (no corrections)**: -1.5951 eV per atom
**SG**: Cmcm

***

[12]
Computed, not measured: a relaxed structure of PrAs2Pd5 at the GGA-PBE level of DFT.

```
data_PrAs2Pd5
_chemical_formula_sum 'Pr1 As2 Pd5'
_cell_length_a 4.168
_cell_length_b 6.369
_cell_length_c 6.369
_cell_angle_alpha 69.61
_cell_angle_beta 70.90
_cell_angle_gamma 70.90
_symmetry_space_group_name_H-M 'P 1'
_symmetry_Int_Tables_number 1
loop_
_symmetry_equiv_pos_as_xyz
'x,y,z'
loop_
_atom_site_label
_atom_site_fract_x
_atom_site_fract_y
_atom_site_fract_z
_atom_site_occupancy
Pr1 0.000 0.000 0.000 1
Pd1 0.350 0.457 0.842 1
As1 0.253 0.247 0.247 1
Pd2 0.000 0.500 0.500 1
Pd3 0.650 0.158 0.543 1
Pd4 0.350 0.842 0.457 1
As2 0.747 0.753 0.753 1
Pd5 0.650 0.543 0.158 1
```

Computed properties:
**E_tot**: -5.647 eV/atom
**SG**: Immm

***

What is the E_tot in the sixth record? -4.370 eV/atom

***

Please write out number 1 again, unchanged.
Computed, not measured: a relaxed structure of Ac2CoSiGe at the GGA-PBE level of DFT.

```
data_Ac2CoSiGe
_chemical_formula_sum 'Ac4 Co2 Si2 Ge2'
_cell_length_a 4.337
_cell_length_b 4.337
_cell_length_c 14.680
_cell_angle_alpha 90.00
_cell_angle_beta 90.00
_cell_angle_gamma 90.00
_symmetry_space_group_name_H-M 'P 1'
_symmetry_Int_Tables_number 1
loop_
_symmetry_equiv_pos_as_xyz
'x,y,z'
loop_
_atom_site_label
_atom_site_fract_x
_atom_site_fract_y
_atom_site_fract_z
_atom_site_occupancy
Si1 0.000 0.500 0.429 1
Co1 0.500 0.500 0.500 1
Si2 0.500 0.000 0.571 1
Ge1 0.500 0.000 0.124 1
Ac1 0.000 0.500 0.106 1
Co2 0.000 0.000 0.500 1
Ac2 0.500 0.000 0.340 1
Ac3 0.000 0.500 0.660 1
Ac4 0.500 0.000 0.894 1
Ge2 0.000 0.500 0.876 1
```

Computed properties:
**E_tot**: -5.595 eV/atom
**Formation energy (no corrections)**: -0.5226 eV per atom
**SG**: P4/nmm

***

Among the records above, which one has the highest E_tot? Rb2BiB2